No. 1
Compound: BaCdMo2O8
Source: Alexandria
Functional: PBE with a Hubbard U
Structure: optimized geometry

- SG = I-4m2 (119)

```
data_BaCdMo2O8
_chemical_formula_sum 'Ba1 Cd1 Mo2 O8'
_space_group_name_H-M_alt 'P 1'
_space_group_IT_number 1
_cell_length_a 6.5113
_cell_length_b 6.5113
_cell_length_c 6.5113
_cell_angle_alpha 106.78
_cell_angle_beta 106.78
_cell_angle_gamma 115.00
loop_
_space_group_symop_operation_xyz
'x,y,z'
loop_
_atom_site_label
_atom_site_type_symbol
_atom_site_fract_x
_atom_site_fract_y
_atom_site_fract_z
O1 O 0.8405 0.6527 0.1879
O2 O 0.3473 0.5352 0.1879
Cd1 Cd 0.2500 0.7500 0.5000
O3 O 0.3473 0.1595 0.8121
O4 O 0.7649 0.0870 0.6779
Mo1 Mo 0.5000 0.5000 0.0000
O5 O 0.4648 0.6527 0.8121
Ba1 Ba 0.0000 0.0000 0.0000
O6 O 0.9130 0.2351 0.3221
O7 O 0.4092 0.0870 0.3221
Mo2 Mo 0.7500 0.2500 0.5000
O8 O 0.9130 0.5908 0.6779
```

No. 2
Compound: Ba2CdMoO6
Source: Alexandria
Functional: PBE with a Hubbard U
Structure: optimized geometry

- SG = R-3m (166)

```
data_Ba2CdMoO6
_chemical_formula_sum 'Ba4 Cd2 Mo2 O12'
_space_group_name_H-M_alt 'P 1'
_space_group_IT_number 1
_cell_length_a 6.0518
_cell_length_b 6.0518
_cell_length_c 10.6006
_cell_angle_alpha 73.41
_cell_angle_beta 73.41
_cell_angle_gamma 60.00
loop_
_space_group_symop_operation_xyz
'x,y,z'
loop_
_atom_site_label
_atom_site_type_symbol
_atom_site_fract_x
_atom_site_fract_y
_atom_site_fract_z
O1 O 0.8131 0.8131 0.1143
O2 O 0.6174 0.1532 0.6120
O3 O 0.2596 0.8131 0.1143
Mo1 Mo 0.5000 0.5000 0.5000
Ba1 Ba 0.2794 0.2794 0.1617
O4 O 0.1869 0.7404 0.8857
O5 O 0.8468 0.3826 0.3880
Ba2 Ba 0.7206 0.7206 0.8383
O6 O 0.6174 0.6174 0.6120
O7 O 0.3826 0.3826 0.3880
O8 O 0.7404 0.1869 0.8857
Cd1 Cd 0.5965 0.5965 0.2104
Ba3 Ba 0.1299 0.1299 0.6103
Cd2 Cd 0.4035 0.4035 0.7896
Ba4 Ba 0.8701 0.8701 0.3897
Mo2 Mo 0.0000 0.0000 0.0000
O9 O 0.1532 0.6174 0.6120
O10 O 0.3826 0.8468 0.3880
O11 O 0.8131 0.2596 0.1143
O12 O 0.1869 0.1869 0.8857
```

Number 1: electronic total energy -6.50 eV per atom, calculated volume 211 Å³ per cell. Number 2: electronic total energy -6.19 eV per atom, calculated volume 317 Å³ per cell.